# 1
Computed, not measured: crystalline LaZr2Au at its relaxed geometry at the GGA-PBEsol level of DFT.

The space group is I4/mmm. The density of states at the Fermi level is 1.277 states/eV per atom. The polymorph energy (0 for the lowest one) is 27 meV/atom. The calculation puts the formation energy from the elements at -0.35 eV per formula unit.

Geometry as extended XYZ:
```
4
Lattice="4.363 0.000 0.000 0.000 4.363 0.000 -2.181 -2.181 4.731" Properties=species:S:1:pos:R:3 pbc="T T T"
La 0.000 0.000 0.000
Zr 0.000 2.181 2.366
Zr 2.181 0.000 2.366
Au 2.181 2.181 0.000
```

# 2
Computed, not measured: crystalline YZr2Os at its relaxed geometry at the GGA-PBEsol level of DFT.

The space group is R-3m. The density of states at the Fermi level is 1.508 states/eV per atom. The polymorph energy (0 for the lowest one) is 333 meV/atom. The calculation puts the formation energy from the elements at 0.47 eV per formula unit.

Geometry as extended XYZ:
```
4
Lattice="-1.604 -2.134 1.933 1.636 -1.670 2.324 -1.726 5.633 7.599" Properties=species:S:1:pos:R:3 pbc="T T T"
Zr -1.186 1.038 8.594
Os -0.847 0.915 5.928
Y 0.000 0.000 0.000
Zr -0.507 0.791 3.263
```

# 3
Computed, not measured: crystalline Li2CaBe at its relaxed geometry at the GGA-PBEsol level of DFT.

The space group is C2/m. The density of states at the Fermi level is 0.679 states/eV per atom. The calculation puts the formation energy from the elements at 1.04 eV per formula unit.

Geometry as extended XYZ:
```
4
Lattice="3.383 0.000 0.000 0.000 4.998 -0.164 -1.691 -2.294 4.907" Properties=species:S:1:pos:R:3 pbc="T T T"
Li 0.000 0.129 2.837
Be 0.000 2.499 -0.082
Ca 1.691 0.000 0.000
Li 1.691 2.575 1.906
```

# 4
Computed, not measured: crystalline ZnSbF3 at its relaxed geometry at the GGA-PBEsol level of DFT.

The space group is Pm-3m. As for the formation energy from raw total energies: -1.4839 eV per atom.

Geometry as extended XYZ:
```
5
Lattice="-0.448 3.681 2.443 -4.418 -0.386 -0.228 0.024 -2.454 3.701" Properties=species:S:1:pos:R:3 pbc="T T T"
Zn -2.421 0.421 2.958
Sb 0.000 0.000 0.000
F -0.224 1.840 1.222
F 0.012 -1.227 1.850
F -2.209 -0.193 -0.114
```

# 5
Computed, not measured: crystalline CuHgOs2 at its relaxed geometry at the GGA-PBEsol level of DFT.

The space group is I-4m2. The density of states at the Fermi level is 0.813 states/eV per atom. The calculation puts the formation energy from the elements at 2.93 eV per formula unit.

Geometry as extended XYZ:
```
4
Lattice="4.000 0.000 0.000 -2.000 4.183 -0.013 0.000 1.923 3.507" Properties=species:S:1:pos:R:3 pbc="T T T"
Os 0.000 2.572 0.870
Cu 2.000 0.962 1.753
Hg 2.000 3.534 2.623
Os 0.000 0.000 0.000
```

# 6
Computed, not measured: crystalline Ba2ZrSe at its relaxed geometry at the GGA-PBEsol level of DFT.

The space group is Cm. As for the formation energy from raw total energies: -0.4484 eV per atom. The density of states at the Fermi level is 1.150 states/eV per atom.

Geometry as extended XYZ:
```
4
Lattice="3.689 0.000 0.000 0.000 5.785 0.046 -1.844 -2.153 5.915" Properties=species:S:1:pos:R:3 pbc="T T T"
Ba 1.844 0.661 3.428
Zr 0.000 3.429 2.291
Ba 1.844 3.481 5.731
Se 1.844 2.586 0.494
```

# 7
Computed, not measured: crystalline In2NiAu at its relaxed geometry at the GGA-PBEsol level of DFT.

The space group is Imm2. The density of states at the Fermi level is 0.447 states/eV per atom. The polymorph energy (0 for the lowest one) is 0 meV/atom. The calculation puts the formation energy from the elements at -0.59 eV per formula unit.

Geometry as extended XYZ:
```
4
Lattice="-0.942 -0.214 -2.766 -2.737 -3.067 1.169 -2.222 5.672 1.869" Properties=species:S:1:pos:R:3 pbc="T T T"
In -2.929 2.333 -0.735
In -0.123 0.122 0.032
Au -2.906 -0.007 0.990
Ni -4.004 3.974 1.056
```

# 8
Computed, not measured: crystalline Y2MgZn at its relaxed geometry at the GGA-PBEsol level of DFT.

The space group is Pm. The density of states at the Fermi level is 1.114 states/eV per atom. The polymorph energy (0 for the lowest one) is 69 meV/atom. The calculation puts the formation energy from the elements at -0.51 eV per formula unit.

Geometry as extended XYZ:
```
4
Lattice="3.477 0.000 -0.087 0.000 4.720 0.000 -1.614 0.000 5.994" Properties=species:S:1:pos:R:3 pbc="T T T"
Mg 0.312 2.360 4.465
Y -1.401 0.000 5.738
Zn 0.278 0.000 2.896
Y 1.991 2.360 1.756
```

# 9
Computed, not measured: crystalline GaCo3Ge at its relaxed geometry at the GGA-PBEsol level of DFT.

The space group is Pm-3m. The density of states at the Fermi level is 1.811 states/eV per atom. The calculation puts the formation energy from the elements at 5.07 eV per formula unit.

Geometry as extended XYZ:
```
5
Lattice="-1.998 1.031 3.598 -3.702 -1.147 -1.727 0.553 -3.953 1.440" Properties=species:S:1:pos:R:3 pbc="T T T"
Co 0.277 -1.976 0.720
Ga 0.000 0.000 0.000
Ge -2.573 -2.034 1.656
Co -0.999 0.516 1.799
Co -1.851 -0.574 -0.863
```

# 10
Computed, not measured: crystalline Tl3IF at its relaxed geometry at the GGA-PBEsol level of DFT.

The space group is Pm-3m. As for the formation energy from raw total energies: -0.0419 eV per atom. The density of states at the Fermi level is 0.633 states/eV per atom.

Geometry as extended XYZ:
```
5
Lattice="6.369 0.000 0.000 0.000 6.369 0.000 0.000 0.000 6.369" Properties=species:S:1:pos:R:3 pbc="T T T"
Tl 0.000 0.000 3.184
Tl 0.000 3.184 0.000
F 3.184 3.184 3.184
I 0.000 0.000 0.000
Tl 3.184 0.000 0.000
```

# 11
Computed, not measured: crystalline CaBe2Ni at its relaxed geometry at the GGA-PBEsol level of DFT.

The space group is P4/mmm. The density of states at the Fermi level is 0.529 states/eV per atom. The polymorph energy (0 for the lowest one) is 658 meV/atom. The calculation puts the formation energy from the elements at 2.12 eV per formula unit.

Geometry as extended XYZ:
```
4
Lattice="3.666 0.000 0.000 0.000 3.666 0.000 0.000 0.000 4.237" Properties=species:S:1:pos:R:3 pbc="T T T"
Be 0.000 1.833 0.000
Ca 1.833 1.833 2.118
Ni 0.000 0.000 2.118
Be 1.833 0.000 0.000
```

# 12
Computed, not measured: crystalline Zn3P2Pb3WO14 at its relaxed geometry at the GGA-PBEsol level of DFT.

The space group is P321. As for the formation energy from raw total energies: -1.8271 eV per atom. The density of states at the Fermi level is 0.000 states/eV per atom.

Geometry as extended XYZ:
```
23
Lattice="5.146 0.000 0.000 0.000 8.397 0.000 0.000 -4.198 7.272" Properties=species:S:1:pos:R:3 pbc="T T T"
P 2.861 4.198 2.424
O 3.472 3.808 3.809
O 1.673 -1.005 5.879
O 4.037 2.762 6.624
O 3.472 3.194 1.393
O 1.673 -0.391 3.462
Pb 0.000 4.986 0.000
O 1.109 1.279 0.920
Zn 2.573 3.142 5.442
P 2.284 0.000 4.848
O 1.331 4.198 2.424
O 1.109 4.355 5.704
O 3.472 5.594 2.070
O 4.037 -2.919 6.352
W 0.000 0.000 0.000
O 1.673 1.395 5.202
Zn 2.573 2.113 0.000
O 4.037 0.157 1.568
Pb 0.000 1.705 2.953
Pb 0.000 -2.493 4.318
O 1.109 6.960 0.648
Zn 2.573 -1.057 1.830
O 3.815 0.000 4.848
```

# 13
Computed, not measured: crystalline CaMg2Ta at its relaxed geometry at the GGA-PBEsol level of DFT.

The space group is Pmmm. The density of states at the Fermi level is 1.092 states/eV per atom. The calculation puts the formation energy from the elements at 2.51 eV per formula unit.

Geometry as extended XYZ:
```
4
Lattice="3.128 0.000 0.000 0.000 5.255 0.000 0.000 0.000 5.456" Properties=species:S:1:pos:R:3 pbc="T T T"
Mg 1.564 2.627 0.000
Ca 0.000 2.627 2.728
Mg 0.000 0.000 0.000
Ta 1.564 0.000 2.728
```